{
  "formula": "Cs2BiW3O12",
  "functional": "PBE+U",
  "state": "optimized geometry",
  "final_energy_ev_per_atom": -6.717,
  "crystal_system": "trigonal",
  "density_g_cm3": 6.566,
  "lattice": [[-3.566, -6.739, 0.767], [-1.193, -3.122, 6.896], [-7.034, -0.474, 3.004]],
  "species": ["W", "W", "W", "O", "O", "O", "O", "O", "O", "O", "O", "O", "O", "O", "O", "Cs", "Cs", "Bi"],
  "fractional_positions": [[0.500, 0.000, 0.000], [0.000, 0.000, 0.500], [0.000, 0.500, 0.000], [0.301, 0.934, 0.301], [0.301, 0.301, 0.934], [0.066, 0.699, 0.699], [0.077, 0.077, 0.646], [0.646, 0.077, 0.077], [0.699, 0.699, 0.066], [0.923, 0.923, 0.354], [0.077, 0.646, 0.077], [0.934, 0.301, 0.301], [0.923, 0.354, 0.923], [0.699, 0.066, 0.699], [0.354, 0.923, 0.923], [0.377, 0.377, 0.377], [0.623, 0.623, 0.623], [0.000, 0.000, 0.000]]
}